Computed, not measured: an optimized crystal structure of Sr2MgInH at the PBE-GGA level of DFT.

The calculation puts the excess energy over the best structure of this formula in the dataset at 0.000 eV/atom. The value obtained for the raw total energy is -2.50 eV per atom. The value obtained for the density of states at the Fermi level is 2.19 states/eV/f.u.

Structure (CIF):
```
data_Sr2MgInH
_chemical_formula_sum 'Sr2 Mg1 In1 H1'
_space_group_name_H-M_alt 'P 4/m m m'
_space_group_IT_number 123
_space_group_name_Hall '-P 4 2'
_cell_length_a 5.359
_cell_length_b 5.359
_cell_length_c 4.574
_cell_angle_alpha 90.00
_cell_angle_beta 90.00
_cell_angle_gamma 90.00
loop_
_atom_site_label
_atom_site_type_symbol
_atom_site_fract_x
_atom_site_fract_y
_atom_site_fract_z
Sr1 Sr 0.000 0.500 0.000
Mg1 Mg 0.000 0.000 0.500
In1 In 0.500 0.500 0.500
H1 H 0.000 0.000 0.000
```

Computed, not measured: an optimized crystal structure of Cs2CaNpBr6 at the PBE-GGA level of DFT.

As for the formation energy (no corrections): -16.0 eV/f.u. The value obtained for the raw total energy is -4.27 eV per atom. The value obtained for the density of states at the Fermi level is 10.13 states/eV/f.u.

Structure (CIF):
```
data_Cs2CaNpBr6
_chemical_formula_sum 'Cs4 Ca2 Np2 Br12'
_space_group_name_H-M_alt 'P m m n'
_space_group_IT_number 59
_cell_length_a 8.270
_cell_length_b 11.707
_cell_length_c 8.282
_cell_angle_alpha 90.00
_cell_angle_beta 90.00
_cell_angle_gamma 90.00
loop_
_space_group_symop_operation_xyz
'x,y,z'
'-x,-y,-z'
'-x+1/2,-y+1/2,z'
'x+1/2,y+1/2,-z'
'x+1/2,-y,-z'
'-x+1/2,y,z'
'-x,y+1/2,-z'
'x,-y+1/2,z'
loop_
_atom_site_label
_atom_site_type_symbol
_atom_site_fract_x
_atom_site_fract_y
_atom_site_fract_z
Cs1 Cs 0.250 0.003 0.250
Ca1 Ca 0.250 0.750 0.749
Np1 Np 0.250 0.250 0.750
Br1 Br 0.003 0.750 0.995
Br2 Br 0.004 0.750 0.502
Br3 Br 0.250 0.503 0.750
```